--- one ---
# Cd2AgAu | the Alexandria database | meta-GGA SCAN | single point on PBEsol structure
# DOS at the Fermi energy = 1.00 states/eV/f.u.
# total moment = 0.0 μB per cell
# calculated volume = 18.1 A^3/atom
data_Cd2AgAu
_space_group_name_H-M_alt 'P m m m'
_space_group_IT_number 47
_space_group_name_Hall '-P 2 2'
_cell_length_a 3.056
_cell_length_b 3.850
_cell_length_c 6.143
_cell_angle_alpha 90.00
_cell_angle_beta 90.00
_cell_angle_gamma 90.00
loop_
_atom_site_label
_atom_site_type_symbol
_atom_site_fract_x
_atom_site_fract_y
_atom_site_fract_z
Cd1 Cd 0.000 0.000 0.250
Ag1 Ag 0.500 0.500 0.000
Au1 Au 0.500 0.500 0.500

--- two ---
# Cd2AgAu | the Alexandria database | meta-GGA SCAN | single point on PBEsol structure
# DOS at the Fermi energy = 0.96 states/eV/f.u.
# total moment = 0.0 μB per cell
# calculated volume = 18.1 A^3/atom
data_Cd2AgAu
_space_group_name_H-M_alt 'F m -3 m'
_space_group_IT_number 225
_space_group_name_Hall '-F 4 2 3'
_cell_length_a 6.615
_cell_length_b 6.615
_cell_length_c 6.615
_cell_angle_alpha 90.00
_cell_angle_beta 90.00
_cell_angle_gamma 90.00
loop_
_atom_site_label
_atom_site_type_symbol
_atom_site_fract_x
_atom_site_fract_y
_atom_site_fract_z
Cd1 Cd 0.250 0.250 0.250
Ag1 Ag 0.000 0.000 0.000
Au1 Au 0.000 0.000 0.500

Most stable: two. Least stable: one.

--- one ---
# TlCo2Sb | the Alexandria database | meta-GGA SCAN | single point on PBEsol structure
# DOS at the Fermi energy = 2.14 states/eV/f.u.
# total moment = 3.1 μB per cell
# calculated volume = 18.0 A^3/atom
data_TlCo2Sb
_space_group_name_H-M_alt 'P 4 m m'
_space_group_IT_number 99
_space_group_name_Hall 'P 4 -2'
_cell_length_a 3.078
_cell_length_b 3.078
_cell_length_c 7.582
_cell_angle_alpha 90.00
_cell_angle_beta 90.00
_cell_angle_gamma 90.00
loop_
_atom_site_label
_atom_site_type_symbol
_atom_site_fract_x
_atom_site_fract_y
_atom_site_fract_z
Tl1 Tl 0.000 0.000 0.000
Co1 Co 0.000 0.000 0.389
Co2 Co 0.500 0.500 0.246
Sb1 Sb 0.500 0.500 0.596

--- two ---
# TlCo2Sb | the Alexandria database | meta-GGA SCAN | single point on PBEsol structure
# DOS at the Fermi energy = 1.97 states/eV/f.u.
# total moment = 2.5 μB per cell
# calculated volume = 16.3 A^3/atom
data_TlCo2Sb
_space_group_name_H-M_alt 'P 1 2/m 1'
_space_group_IT_number 10
_space_group_name_Hall '-P 2y'
_cell_length_a 4.143
_cell_length_b 3.189
_cell_length_c 5.196
_cell_angle_alpha 90.00
_cell_angle_beta 108.04
_cell_angle_gamma 90.00
loop_
_atom_site_label
_atom_site_type_symbol
_atom_site_fract_x
_atom_site_fract_y
_atom_site_fract_z
Tl1 Tl 0.000 0.000 0.000
Co1 Co 0.000 0.000 0.500
Co2 Co 0.500 0.500 0.000
Sb1 Sb 0.500 0.500 0.500

Most stable: one. Least stable: two.

--- one ---
# SiAgBr2 | the Alexandria database | meta-GGA SCAN | single point on PBEsol structure
# DOS at the Fermi energy = 1.26 states/eV/f.u.
# total moment = 0.0 μB per cell
# calculated volume = 21.1 A^3/atom
data_SiAgBr2
_space_group_name_H-M_alt 'F m -3 m'
_space_group_IT_number 225
_space_group_name_Hall '-F 4 2 3'
_cell_length_a 6.959
_cell_length_b 6.959
_cell_length_c 6.959
_cell_angle_alpha 90.00
_cell_angle_beta 90.00
_cell_angle_gamma 90.00
loop_
_atom_site_label
_atom_site_type_symbol
_atom_site_fract_x
_atom_site_fract_y
_atom_site_fract_z
Si1 Si 0.000 0.000 0.000
Ag1 Ag 0.000 0.000 0.500
Br1 Br 0.250 0.250 0.250

--- two ---
# SiAgBr2 | the Alexandria database | meta-GGA SCAN | single point on PBEsol structure
# DOS at the Fermi energy = 1.74 states/eV/f.u.
# total moment = 0.0 μB per cell
# calculated volume = 23.4 A^3/atom
data_SiAgBr2
_space_group_name_H-M_alt 'C m m 2'
_space_group_IT_number 35
_space_group_name_Hall 'C 2 -2'
_cell_length_a 3.554
_cell_length_b 6.036
_cell_length_c 8.716
_cell_angle_alpha 90.00
_cell_angle_beta 90.00
_cell_angle_gamma 90.00
loop_
_atom_site_label
_atom_site_type_symbol
_atom_site_fract_x
_atom_site_fract_y
_atom_site_fract_z
Si1 Si 0.000 0.000 0.000
Ag1 Ag 0.000 0.500 0.800
Br1 Br 0.000 0.000 0.583
Br2 Br 0.000 0.500 0.221

Most stable: two. Least stable: one.

--- one ---
# OsRh2Br | the Alexandria database | meta-GGA SCAN | single point on PBEsol structure
# DOS at the Fermi energy = 3.25 states/eV/f.u.
# total moment = 4.2 μB per cell
# calculated volume = 14.8 A^3/atom
data_OsRh2Br
_space_group_name_H-M_alt 'F -4 3 m'
_space_group_IT_number 216
_space_group_name_Hall 'F -4 2 3'
_cell_length_a 6.181
_cell_length_b 6.181
_cell_length_c 6.181
_cell_angle_alpha 90.00
_cell_angle_beta 90.00
_cell_angle_gamma 90.00
loop_
_atom_site_label
_atom_site_type_symbol
_atom_site_fract_x
_atom_site_fract_y
_atom_site_fract_z
Os1 Os 0.000 0.000 0.000
Rh1 Rh 0.000 0.000 0.500
Rh2 Rh 0.250 0.250 0.750
Br1 Br 0.250 0.250 0.250

--- two ---
# OsRh2Br | the Alexandria database | meta-GGA SCAN | single point on PBEsol structure
# DOS at the Fermi energy = 3.50 states/eV/f.u.
# total moment = 0.0 μB per cell
# calculated volume = 16.6 A^3/atom
data_OsRh2Br
_space_group_name_H-M_alt 'P m m m'
_space_group_IT_number 47
_space_group_name_Hall '-P 2 2'
_cell_length_a 2.748
_cell_length_b 3.531
_cell_length_c 6.822
_cell_angle_alpha 90.00
_cell_angle_beta 90.00
_cell_angle_gamma 90.00
loop_
_atom_site_label
_atom_site_type_symbol
_atom_site_fract_x
_atom_site_fract_y
_atom_site_fract_z
Os1 Os 0.000 0.000 0.000
Rh1 Rh 0.500 0.500 0.193
Br1 Br 0.500 0.000 0.500

Most stable: two. Least stable: one.

--- one ---
# ZnTeMo2 | the Alexandria database | meta-GGA SCAN | single point on PBEsol structure
# DOS at the Fermi energy = 1.98 states/eV/f.u.
# total moment = 0.0 μB per cell
# calculated volume = 17.7 A^3/atom
data_ZnTeMo2
_space_group_name_H-M_alt 'P 1 m 1'
_space_group_IT_number 6
_space_group_name_Hall 'P -2y'
_cell_length_a 3.116
_cell_length_b 4.607
_cell_length_c 5.094
_cell_angle_alpha 90.00
_cell_angle_beta 104.87
_cell_angle_gamma 90.00
loop_
_atom_site_label
_atom_site_type_symbol
_atom_site_fract_x
_atom_site_fract_y
_atom_site_fract_z
Zn1 Zn 0.000 0.000 0.000
Te1 Te 0.651 0.500 0.742
Mo1 Mo 0.644 0.000 0.439
Mo2 Mo 0.982 0.500 0.302

--- two ---
# ZnTeMo2 | the Alexandria database | meta-GGA SCAN | single point on PBEsol structure
# DOS at the Fermi energy = 4.08 states/eV/f.u.
# total moment = 0.0 μB per cell
# calculated volume = 16.1 A^3/atom
data_ZnTeMo2
_space_group_name_H-M_alt 'P 4/m m m'
_space_group_IT_number 123
_space_group_name_Hall '-P 4 2'
_cell_length_a 4.434
_cell_length_b 4.434
_cell_length_c 3.266
_cell_angle_alpha 90.00
_cell_angle_beta 90.00
_cell_angle_gamma 90.00
loop_
_atom_site_label
_atom_site_type_symbol
_atom_site_fract_x
_atom_site_fract_y
_atom_site_fract_z
Zn1 Zn 0.000 0.000 0.000
Te1 Te 0.500 0.500 0.000
Mo1 Mo 0.000 0.500 0.500

Most stable: one. Least stable: two.

--- one ---
# ReAu | the Alexandria database | meta-GGA SCAN | single point on PBEsol structure
# DOS at the Fermi energy = 1.39 states/eV/f.u.
# total moment = 0.0 μB per cell
# calculated volume = 15.5 A^3/atom
data_ReAu
_space_group_name_H-M_alt 'P -6 m 2'
_space_group_IT_number 187
_space_group_name_Hall 'P -6 2'
_cell_length_a 2.7774
_cell_length_b 2.7774
_cell_length_c 4.6470
_cell_angle_alpha 90.00
_cell_angle_beta 90.00
_cell_angle_gamma 120.00
loop_
_atom_site_label
_atom_site_type_symbol
_atom_site_fract_x
_atom_site_fract_y
_atom_site_fract_z
Re1 Re 0.0000 0.0000 0.0000
Au1 Au 0.3333 0.6667 0.5000

--- two ---
# ReAu | the Alexandria database | meta-GGA SCAN | single point on PBEsol structure
# DOS at the Fermi energy = 1.67 states/eV/f.u.
# total moment = 0.0 μB per cell
# calculated volume = 22.8 A^3/atom
data_ReAu
_space_group_name_H-M_alt 'F -4 3 m'
_space_group_IT_number 216
_space_group_name_Hall 'F -4 2 3'
_cell_length_a 5.674
_cell_length_b 5.674
_cell_length_c 5.674
_cell_angle_alpha 90.00
_cell_angle_beta 90.00
_cell_angle_gamma 90.00
loop_
_atom_site_label
_atom_site_type_symbol
_atom_site_fract_x
_atom_site_fract_y
_atom_site_fract_z
Re1 Re 0.000 0.000 0.000
Au1 Au 0.250 0.250 0.250

Most stable: one. Least stable: two.